The following is a DFT calculation (PBE) of a relaxed KLiAgI3 crystal.

a = 4.458 Å, b = 9.486 Å, c = 10.775 Å
α = 103.69°, β = 90.00°, γ = 90.00°
Fractional coordinates of all 12 atoms:
Li: 0.750 0.895 0.392
Li: 0.250 0.105 0.608
Ag: 0.750 0.347 0.902
Ag: 0.250 0.653 0.098
I: 0.750 0.882 0.133
I: 0.750 0.199 0.498
I: 0.250 0.801 0.502
I: 0.250 0.530 0.823
I: 0.750 0.470 0.177
I: 0.250 0.118 0.867
K: 0.250 0.197 0.222
K: 0.750 0.803 0.778

**Magnetization**: 0.00 μB per cell
**E_form (uncorrected)**: -0.940 eV per atom



The following is a DFT calculation (PBE) of a relaxed K2LiAg2I6 crystal.

a = 7.566 Å, b = 8.722 Å, c = 8.606 Å
α = 118.42°, β = 90.00°, γ = 115.70°
Fractional coordinates of all 11 atoms:
Li: 0.500 0.000 0.500
Ag: 0.068 0.135 0.208
Ag: 0.932 0.865 0.792
I: 0.677 0.874 0.188
I: 0.729 0.459 0.619
I: 0.197 0.874 0.188
I: 0.323 0.126 0.812
I: 0.271 0.541 0.381
I: 0.803 0.126 0.812
K: 0.749 0.498 0.229
K: 0.251 0.502 0.771

**Magnetization**: 0.00 μB per cell
**E_form (uncorrected)**: -0.768 eV per atom



The following is a DFT calculation (PBE) of a relaxed KLiAg2I4 crystal.

a = 7.682 Å, b = 7.334 Å, c = 7.334 Å
α = 70.63°, β = 58.42°, γ = 58.42°
Fractional coordinates of all 8 atoms:
K: 0.000 0.000 0.000
I: 0.115 0.857 0.476
I: 0.551 0.476 0.857
I: 0.885 0.524 0.143
I: 0.449 0.143 0.524
Ag: 0.837 0.663 0.663
Ag: 0.163 0.337 0.337
Li: 0.500 0.500 0.500

**Magnetization**: 0.00 μB per cell
**E_form (uncorrected)**: -0.766 eV per atom



The following is a DFT calculation (PBE) of a relaxed KMg2AgI6 crystal.

a = 8.424 Å, b = 10.839 Å, c = 10.839 Å
α = 87.76°, β = 75.01°, γ = 75.01°
Fractional coordinates of all 20 atoms:
Mg: 0.300 0.765 0.614
Mg: 0.200 0.386 0.235
Mg: 0.700 0.235 0.386
Mg: 0.800 0.614 0.765
I: 0.570 0.134 0.615
I: 0.324 0.194 0.049
I: 0.070 0.615 0.134
I: 0.526 0.564 0.693
I: 0.430 0.866 0.385
I: 0.974 0.307 0.436
I: 0.930 0.385 0.866
I: 0.824 0.049 0.194
I: 0.176 0.951 0.806
I: 0.676 0.806 0.951
I: 0.474 0.436 0.307
I: 0.026 0.693 0.564
K: 0.750 0.124 0.876
K: 0.250 0.876 0.124
Ag: 0.250 0.209 0.791
Ag: 0.750 0.791 0.209

**Magnetization**: 0.00 μB per cell
**E_form (uncorrected)**: -0.929 eV per atom



The following is a DFT calculation (PBE) of a relaxed K3MgAg3I8 crystal.

a = 8.945 Å, b = 9.094 Å, c = 9.606 Å
α = 118.30°, β = 90.00°, γ = 119.46°
Fractional coordinates of all 15 atoms:
K: 0.000 0.500 0.000
K: 0.000 0.000 0.000
K: 0.500 0.500 0.000
I: 0.262 0.525 0.297
I: 0.748 0.981 0.705
I: 0.773 0.547 0.300
I: 0.768 0.019 0.295
I: 0.227 0.453 0.700
I: 0.252 0.019 0.295
I: 0.232 0.981 0.705
I: 0.738 0.475 0.703
Mg: 0.000 0.000 0.500
Ag: 0.000 0.500 0.500
Ag: 0.500 0.500 0.500
Ag: 0.500 0.000 0.500

**Magnetization**: 0.00 μB per cell
**E_form (uncorrected)**: -0.839 eV per atom



The following is a DFT calculation (PBE) of a relaxed K2MgAg2I6 crystal.

a = 8.437 Å, b = 8.559 Å, c = 8.271 Å
α = 116.83°, β = 90.00°, γ = 119.53°
Fractional coordinates of all 11 atoms:
I: 0.723 0.447 0.596
I: 0.277 0.553 0.404
I: 0.678 0.877 0.200
I: 0.801 0.123 0.800
I: 0.199 0.877 0.200
I: 0.322 0.123 0.800
Ag: 0.940 0.880 0.784
Ag: 0.060 0.120 0.216
K: 0.743 0.486 0.194
K: 0.257 0.514 0.806
Mg: 0.500 0.000 0.500

**Magnetization**: 0.00 μB per cell
**E_form (uncorrected)**: -0.850 eV per atom



The following is a DFT calculation (PBE) of a relaxed KMn2AgI8 crystal.

a = 7.392 Å, b = 7.392 Å, c = 10.224 Å
α = 90.00°, β = 90.00°, γ = 120.00°
Each line ends with the local moment (μB).
Fractional coordinates of all 12 atoms:
I: 0.320 0.322 0.322  -0.05
I: 0.678 0.998 0.322  -0.05
I: 0.667 0.333 0.001  -0.02
I: 0.998 0.320 0.678  -0.05
I: 0.680 0.678 0.678  -0.05
I: 0.002 0.680 0.322  -0.05
I: 0.333 0.667 0.999  -0.02
I: 0.322 0.002 0.678  -0.05
Mn: 0.333 0.667 0.746  3.86
Mn: 0.667 0.333 0.254  3.86
Ag: 0.000 0.000 0.500  -0.09
K: 0.000 0.000 0.000  0.00

**Magnetization**: 8.00 μB per cell
**E_form (uncorrected)**: -0.456 eV per atom



The following is a DFT calculation (PBE) of a relaxed K2MnAgI6 crystal.

a = 7.710 Å, b = 8.647 Å, c = 11.616 Å
α = 90.00°, β = 88.21°, γ = 90.00°
Each line ends with the local moment (μB).
Fractional coordinates of all 20 atoms:
Mn: 0.000 0.500 0.000  3.85
Mn: 0.500 0.000 0.500  3.85
Ag: 0.000 0.500 0.500  -0.03
Ag: 0.500 0.000 0.000  -0.03
K: 0.042 0.900 0.250  0.00
K: 0.458 0.400 0.250  0.00
K: 0.958 0.100 0.750  0.00
K: 0.542 0.600 0.750  0.00
I: 0.083 0.505 0.773  -0.03
I: 0.204 0.177 0.037  0.00
I: 0.787 0.833 0.539  -0.03
I: 0.583 0.995 0.273  -0.03
I: 0.213 0.167 0.461  -0.03
I: 0.417 0.005 0.727  -0.03
I: 0.287 0.667 0.039  -0.03
I: 0.296 0.677 0.463  0.00
I: 0.704 0.323 0.537  0.00
I: 0.796 0.823 0.963  0.00
I: 0.917 0.495 0.227  -0.03
I: 0.713 0.333 0.961  -0.03

**Magnetization**: 8.00 μB per cell
**E_form (uncorrected)**: -0.754 eV per atom



The following is a DFT calculation (PBE) of a relaxed K3MnAg3I8 crystal.

a = 9.012 Å, b = 9.051 Å, c = 9.584 Å
α = 118.18°, β = 90.00°, γ = 119.86°
Each line ends with the local moment (μB).
Fractional coordinates of all 15 atoms:
Ag: 0.500 0.000 0.500  0.00
Ag: 0.000 0.500 0.500  0.00
Ag: 0.500 0.500 0.500  0.00
I: 0.751 0.977 0.701  0.02
I: 0.735 0.470 0.703  0.01
I: 0.224 0.449 0.700  0.02
I: 0.776 0.551 0.300  0.02
I: 0.774 0.023 0.299  0.02
I: 0.265 0.530 0.297  0.01
I: 0.226 0.977 0.701  0.02
I: 0.249 0.023 0.299  0.02
Mn: 0.000 0.000 0.500  4.34
K: 0.500 0.500 0.000  0.00
K: 0.000 0.500 0.000  0.00
K: 0.000 0.000 0.000  0.00

**Magnetization**: 4.91 μB per cell
**E_form (uncorrected)**: -0.715 eV per atom



The following is a DFT calculation (PBE) of a relaxed KAg2MoI8 crystal.

a = 7.570 Å, b = 7.385 Å, c = 9.888 Å
α = 66.49°, β = 88.90°, γ = 99.01°
Each line ends with the local moment (μB).
Fractional coordinates of all 12 atoms:
I: 0.346 0.204 0.995  -0.03
I: 0.475 0.242 0.468  -0.01
I: 0.959 0.287 0.715  0.01
I: 0.525 0.758 0.532  -0.01
I: 0.041 0.713 0.285  0.01
I: 0.138 0.771 0.880  -0.05
I: 0.654 0.796 0.005  -0.03
I: 0.862 0.229 0.120  -0.05
Ag: 0.354 0.353 0.686  0.00
Ag: 0.646 0.647 0.314  0.00
K: 0.000 0.000 0.500  0.00
Mo: 0.000 0.000 0.000  1.68

**Magnetization**: 1.69 μB per cell
**E_form (uncorrected)**: -0.343 eV per atom



The following is a DFT calculation (PBE) of a relaxed K2AgMoI6 crystal.

a = 8.248 Å, b = 8.248 Å, c = 8.248 Å
α = 60.00°, β = 60.00°, γ = 60.00°
Each line ends with the local moment (μB).
Fractional coordinates of all 10 atoms:
I: 0.758 0.758 0.242  0.01
I: 0.242 0.758 0.758  0.01
I: 0.758 0.242 0.242  0.01
I: 0.758 0.242 0.758  0.01
I: 0.242 0.758 0.242  0.01
I: 0.242 0.242 0.758  0.01
Mo: 0.000 0.000 0.000  2.45
Ag: 0.500 0.500 0.500  -0.01
K: 0.750 0.750 0.750  0.00
K: 0.250 0.250 0.250  0.00

**Magnetization**: 3.00 μB per cell
**E_form (uncorrected)**: -0.615 eV per atom



The following is a DFT calculation (PBE) of a relaxed KAgI2N crystal.

a = 6.057 Å, b = 6.057 Å, c = 4.248 Å
α = 90.00°, β = 90.00°, γ = 90.00°
Each line ends with the local moment (μB).
Fractional coordinates of all 5 atoms:
I: 0.000 0.500 0.000  0.07
I: 0.500 0.000 0.000  0.07
Ag: 0.000 0.000 0.000  0.14
K: 0.500 0.500 0.500  0.00
N: 0.000 0.000 0.500  1.22

**Magnetization**: 2.11 μB per cell
**Excess energy over the best structure of this formula in the dataset**: 0.00 eV/f.u.
**E_form (uncorrected)**: 0.187 eV per atom



The following is a DFT calculation (PBE) of a relaxed KAgI2N crystal.

a = 6.492 Å, b = 6.492 Å, c = 5.096 Å
α = 90.00°, β = 90.00°, γ = 90.00°
Each line ends with the local moment (μB).
Fractional coordinates of all 5 atoms:
N: 0.000 0.000 0.500  0.86
I: 0.500 0.000 0.000  0.03
I: 0.000 0.500 0.000  0.03
Ag: 0.500 0.500 0.500  0.00
K: 0.000 0.000 0.000  -0.02

**Magnetization**: 1.43 μB per cell
**Excess energy over the best structure of this formula in the dataset**: 4.12 eV/f.u.
**E_form (uncorrected)**: 1.010 eV per atom



The following is a DFT calculation (PBE) of a relaxed KNaAgI3 crystal.

a = 4.637 Å, b = 9.733 Å, c = 10.720 Å
α = 103.80°, β = 90.00°, γ = 90.00°
Fractional coordinates of all 12 atoms:
K: 0.750 0.810 0.783
K: 0.250 0.190 0.217
I: 0.750 0.439 0.168
I: 0.750 0.230 0.523
I: 0.250 0.102 0.854
I: 0.750 0.898 0.146
I: 0.250 0.770 0.477
I: 0.250 0.561 0.832
Na: 0.250 0.653 0.138
Na: 0.750 0.347 0.862
Ag: 0.250 0.076 0.582
Ag: 0.750 0.924 0.418

**Magnetization**: 0.00 μB per cell
**E_form (uncorrected)**: -0.987 eV per atom



The following is a DFT calculation (PBE) of a relaxed KNaAg2I4 crystal.

a = 8.024 Å, b = 7.493 Å, c = 7.493 Å
α = 70.31°, β = 57.63°, γ = 57.63°
Fractional coordinates of all 8 atoms:
I: 0.075 0.880 0.479
I: 0.435 0.120 0.521
I: 0.565 0.479 0.880
I: 0.925 0.521 0.120
Ag: 0.161 0.339 0.339
Ag: 0.839 0.661 0.661
Na: 0.500 0.500 0.500
K: 0.000 0.000 0.000

**Magnetization**: 0.00 μB per cell
**E_form (uncorrected)**: -0.765 eV per atom



The following is a DFT calculation (PBE) of a relaxed K2NdAgI6 crystal.

a = 8.652 Å, b = 8.652 Å, c = 8.652 Å
α = 60.00°, β = 60.00°, γ = 60.00°
Fractional coordinates of all 10 atoms:
I: 0.753 0.247 0.247
I: 0.753 0.247 0.753
I: 0.753 0.753 0.247
I: 0.247 0.753 0.247
I: 0.247 0.247 0.753
I: 0.247 0.753 0.753
K: 0.250 0.250 0.250
K: 0.750 0.750 0.750
Ag: 0.000 0.000 0.000
Nd: 0.500 0.500 0.500

**Magnetization**: 0.00 μB per cell
**Excess energy over the best structure of this formula in the dataset**: 0.68 eV/f.u.
**E_form (uncorrected)**: -1.128 eV per atom



The following is a DFT calculation (PBE) of a relaxed K2NdAgI6 crystal.

a = 8.457 Å, b = 8.459 Å, c = 9.282 Å
α = 62.90°, β = 62.90°, γ = 59.97°
Fractional coordinates of all 10 atoms:
I: 0.682 0.109 0.747
I: 0.215 0.976 0.220
I: 0.109 0.462 0.747
I: 0.590 0.215 0.220
I: 0.462 0.682 0.747
I: 0.975 0.590 0.220
K: 0.534 0.534 0.398
K: 0.024 0.024 0.927
Nd: 0.325 0.325 0.024
Ag: 0.745 0.745 0.764

**Magnetization**: 0.00 μB per cell
**Excess energy over the best structure of this formula in the dataset**: 0.00 eV/f.u.
**E_form (uncorrected)**: -1.195 eV per atom



The following is a DFT calculation (PBE) of a relaxed KNdAgI5 crystal.

a = 8.542 Å, b = 8.542 Å, c = 11.623 Å
α = 102.96°, β = 102.96°, γ = 107.83°
Fractional coordinates of all 16 atoms:
Ag: 0.311 0.689 0.750
Ag: 0.689 0.311 0.250
K: 0.635 0.365 0.750
K: 0.365 0.635 0.250
I: 0.671 0.069 0.383
I: 0.091 0.909 0.250
I: 0.249 0.382 0.553
I: 0.382 0.249 0.053
I: 0.931 0.329 0.117
I: 0.618 0.751 0.947
I: 0.909 0.091 0.750
I: 0.069 0.671 0.883
I: 0.329 0.931 0.617
I: 0.751 0.618 0.447
Nd: 0.000 0.000 0.500
Nd: 0.000 0.000 0.000

**Magnetization**: 0.00 μB per cell
**E_form (uncorrected)**: -1.119 eV per atom



The following is a DFT calculation (PBE) of a relaxed KNiAgI2 crystal.

a = 6.346 Å, b = 6.346 Å, c = 5.760 Å
α = 90.00°, β = 90.00°, γ = 90.00°
Each line ends with the local moment (μB).
Fractional coordinates of all 5 atoms:
Ag: 0.000 0.000 0.500  0.04
Ni: 0.500 0.500 0.500  -0.87
K: 0.000 0.000 0.000  0.00
I: 0.000 0.500 0.000  0.00
I: 0.500 0.000 0.000  0.00

**Magnetization**: 0.81 μB per cell
**E_form (uncorrected)**: 0.856 eV per atom



The following is a DFT calculation (PBE) of a relaxed KNiAg2I crystal.

a = 5.764 Å, b = 6.197 Å, c = 5.764 Å
α = 90.00°, β = 90.00°, γ = 90.00°
Each line ends with the local moment (μB).
Fractional coordinates of all 5 atoms:
K: 0.000 0.000 0.000  0.00
Ag: 0.000 0.000 0.500  0.02
Ag: 0.500 0.000 0.000  0.00
I: 0.000 0.500 0.000  0.03
Ni: 0.500 0.500 0.500  0.94

**Magnetization**: 1.12 μB per cell
**E_form (uncorrected)**: 1.279 eV per atom



The following is a DFT calculation (PBE) of a relaxed K2NpAgI6 crystal.

a = 8.149 Å, b = 8.710 Å, c = 11.746 Å
α = 90.00°, β = 89.40°, γ = 90.00°
Each line ends with the local moment (μB).
Fractional coordinates of all 20 atoms:
I: 0.190 0.195 0.444  -0.02
I: 0.688 0.305 0.551  -0.02
I: 0.110 0.474 0.746  -0.02
I: 0.610 0.026 0.246  -0.02
I: 0.312 0.695 0.449  -0.02
I: 0.812 0.805 0.949  -0.02
I: 0.890 0.526 0.254  -0.02
I: 0.188 0.195 0.051  -0.02
I: 0.390 0.974 0.754  -0.02
I: 0.690 0.305 0.944  -0.02
I: 0.310 0.695 0.056  -0.02
I: 0.810 0.805 0.556  -0.02
K: 0.532 0.588 0.752  0.00
K: 0.968 0.088 0.748  0.00
K: 0.468 0.412 0.248  0.00
K: 0.032 0.912 0.252  0.00
Ag: 0.500 0.000 0.000  0.00
Ag: 0.000 0.500 0.500  0.00
Np: 0.000 0.500 0.000  4.00
Np: 0.500 0.000 0.500  4.00

**Magnetization**: 8.00 μB per cell
**E_form (uncorrected)**: -0.970 eV per atom